Entry 1:
DFT (PBE+U) results for a geometry-optimized CoH6C6N2O4 structure.

## Properties
spin magnetization = 6.0 μB/cell
VASP energy = -0.2422 Ha/atom

Cell and atoms, written as CIF:
```
data_CoH6C6N2O4
_chemical_formula_sum 'Co2 H12 C12 N4 O8'
_cell_length_a 7.023
_cell_length_b 7.023
_cell_length_c 8.515
_cell_angle_alpha 90.11
_cell_angle_beta 90.11
_cell_angle_gamma 64.46
_symmetry_space_group_name_H-M 'P 1'
_symmetry_Int_Tables_number 1
loop_
_symmetry_equiv_pos_as_xyz
'x,y,z'
loop_
_atom_site_label
_atom_site_fract_x
_atom_site_fract_y
_atom_site_fract_z
Co1 0.000 0.500 0.000
Co2 0.500 0.000 0.500
H1 0.081 0.251 0.676
H2 0.170 0.470 0.523
H3 0.176 0.824 0.517
H4 0.176 0.824 0.983
H5 0.251 0.081 0.176
H6 0.470 0.170 0.023
H7 0.530 0.830 0.977
H8 0.749 0.919 0.824
H9 0.824 0.176 0.017
H10 0.824 0.176 0.483
H11 0.830 0.530 0.477
H12 0.919 0.749 0.324
C1 0.160 0.194 0.268
C2 0.194 0.160 0.768
C3 0.318 0.483 0.512
C4 0.321 0.679 0.510
C5 0.321 0.679 0.990
C6 0.483 0.318 0.012
C7 0.517 0.682 0.988
C8 0.679 0.321 0.010
C9 0.679 0.321 0.490
C10 0.682 0.517 0.488
C11 0.806 0.840 0.232
C12 0.840 0.806 0.732
N1 0.304 0.497 0.003
N2 0.497 0.304 0.503
N3 0.503 0.696 0.497
N4 0.696 0.503 0.997
O1 0.030 0.377 0.227
O2 0.133 0.193 0.910
O3 0.193 0.133 0.410
O4 0.377 0.030 0.727
O5 0.623 0.970 0.273
O6 0.807 0.867 0.590
O7 0.867 0.807 0.090
O8 0.970 0.623 0.773
```

---

Entry 2:
DFT (PBE+U) results for a geometry-optimized CoH14C12N6O8 structure.

## Properties
spin magnetization = 3.0 μB/cell
VASP energy = -0.2421 Ha/atom

Cell and atoms, written as CIF:
```
data_CoH14C12N6O8
_chemical_formula_sum 'Co1 H14 C12 N6 O8'
_cell_length_a 6.907
_cell_length_b 7.901
_cell_length_c 8.035
_cell_angle_alpha 64.11
_cell_angle_beta 86.20
_cell_angle_gamma 70.88
_symmetry_space_group_name_H-M 'P 1'
_symmetry_Int_Tables_number 1
loop_
_symmetry_equiv_pos_as_xyz
'x,y,z'
loop_
_atom_site_label
_atom_site_fract_x
_atom_site_fract_y
_atom_site_fract_z
Co1 0.000 0.000 0.000
H1 0.082 0.777 0.466
H2 0.187 0.515 0.097
H3 0.212 0.819 0.818
H4 0.323 0.228 0.968
H5 0.346 0.385 0.772
H6 0.380 0.806 0.959
H7 0.426 0.801 0.362
H8 0.574 0.199 0.638
H9 0.620 0.194 0.041
H10 0.654 0.615 0.228
H11 0.677 0.772 0.032
H12 0.788 0.181 0.182
H13 0.813 0.485 0.903
H14 0.918 0.223 0.534
C1 0.133 0.672 0.407
C2 0.141 0.147 0.244
C3 0.178 0.541 0.219
C4 0.328 0.085 0.369
C5 0.375 0.196 0.447
C6 0.458 0.889 0.423
C7 0.542 0.111 0.577
C8 0.625 0.804 0.553
C9 0.672 0.915 0.631
C10 0.822 0.459 0.781
C11 0.859 0.853 0.756
C12 0.867 0.328 0.593
N1 0.094 0.715 0.226
N2 0.238 0.482 0.512
N3 0.262 0.400 0.390
N4 0.738 0.600 0.610
N5 0.762 0.518 0.488
N6 0.906 0.285 0.774
O1 0.034 0.765 0.724
O2 0.179 0.091 0.113
O3 0.258 0.898 0.866
O4 0.394 0.327 0.904
O5 0.606 0.673 0.096
O6 0.742 0.102 0.134
O7 0.821 0.909 0.887
O8 0.966 0.235 0.276
```

---

Entry 3:
DFT (PBE+U) results for a geometry-optimized CoH6C12N2O6 structure.

## Properties
spin magnetization = 2.0 μB/cell
VASP energy = -0.2587 Ha/atom

Cell and atoms, written as CIF:
```
data_CoH6C12N2O6
_chemical_formula_sum 'Co2 H12 C24 N4 O12'
_cell_length_a 6.681
_cell_length_b 10.111
_cell_length_c 7.986
_cell_angle_alpha 90.00
_cell_angle_beta 116.64
_cell_angle_gamma 90.00
_symmetry_space_group_name_H-M 'P 1'
_symmetry_Int_Tables_number 1
loop_
_symmetry_equiv_pos_as_xyz
'x,y,z'
loop_
_atom_site_label
_atom_site_fract_x
_atom_site_fract_y
_atom_site_fract_z
Co1 0.000 0.000 0.000
Co2 0.000 0.500 0.500
H1 0.157 0.232 0.274
H2 0.157 0.268 0.774
H3 0.311 0.044 0.517
H4 0.311 0.456 0.017
H5 0.353 0.661 0.762
H6 0.353 0.839 0.262
H7 0.647 0.161 0.738
H8 0.647 0.339 0.238
H9 0.689 0.544 0.983
H10 0.689 0.956 0.483
H11 0.843 0.732 0.226
H12 0.843 0.768 0.726
C1 0.015 0.232 0.649
C2 0.015 0.268 0.149
C3 0.059 0.600 0.854
C4 0.059 0.900 0.354
C5 0.250 0.556 0.014
C6 0.250 0.944 0.514
C7 0.268 0.730 0.649
C8 0.268 0.770 0.149
C9 0.353 0.643 0.162
C10 0.353 0.857 0.662
C11 0.436 0.123 0.159
C12 0.436 0.377 0.659
C13 0.564 0.623 0.341
C14 0.564 0.877 0.841
C15 0.647 0.143 0.338
C16 0.647 0.357 0.838
C17 0.732 0.230 0.851
C18 0.732 0.270 0.351
C19 0.750 0.056 0.486
C20 0.750 0.444 0.986
C21 0.941 0.100 0.646
C22 0.941 0.400 0.146
C23 0.985 0.732 0.851
C24 0.985 0.768 0.351
N1 0.089 0.687 0.498
N2 0.089 0.813 0.998
N3 0.911 0.187 0.002
N4 0.911 0.313 0.502
O1 0.054 0.020 0.789
O2 0.054 0.480 0.289
O3 0.303 0.035 0.174
O4 0.303 0.465 0.674
O5 0.400 0.195 0.023
O6 0.400 0.305 0.523
O7 0.600 0.695 0.477
O8 0.600 0.805 0.977
O9 0.697 0.535 0.326
O10 0.697 0.965 0.826
O11 0.946 0.520 0.711
O12 0.946 0.980 0.211
```

---

Entry 4:
DFT (PBE+U) results for a geometry-optimized CoH28C26N4O6 structure.

## Properties
spin magnetization = 1.0 μB/cell
VASP energy = -0.2355 Ha/atom

Cell and atoms, written as CIF:
```
data_CoH28C26N4O6
_chemical_formula_sum 'Co1 H28 C26 N4 O6'
_cell_length_a 8.167
_cell_length_b 8.335
_cell_length_c 9.355
_cell_angle_alpha 79.35
_cell_angle_beta 83.72
_cell_angle_gamma 72.89
_symmetry_space_group_name_H-M 'P 1'
_symmetry_Int_Tables_number 1
loop_
_symmetry_equiv_pos_as_xyz
'x,y,z'
loop_
_atom_site_label
_atom_site_fract_x
_atom_site_fract_y
_atom_site_fract_z
Co1 0.000 0.000 0.000
H1 0.078 0.610 0.378
H2 0.084 0.425 0.814
H3 0.117 0.623 0.973
H4 0.134 0.955 0.311
H5 0.180 0.136 0.479
H6 0.195 0.429 0.498
H7 0.252 0.709 0.184
H8 0.270 0.319 0.073
H9 0.271 0.721 0.603
H10 0.426 0.835 0.593
H11 0.428 0.059 0.241
H12 0.435 0.432 0.852
H13 0.494 0.608 0.600
H14 0.496 0.223 0.638
H15 0.504 0.777 0.362
H16 0.506 0.392 0.400
H17 0.565 0.568 0.148
H18 0.572 0.941 0.759
H19 0.574 0.165 0.407
H20 0.729 0.279 0.397
H21 0.730 0.681 0.927
H22 0.748 0.291 0.816
H23 0.805 0.571 0.502
H24 0.820 0.864 0.521
H25 0.866 0.045 0.689
H26 0.883 0.377 0.027
H27 0.916 0.575 0.186
H28 0.922 0.390 0.622
C1 0.035 0.562 0.783
C2 0.053 0.371 0.345
C3 0.054 0.672 0.871
C4 0.075 0.486 0.442
C5 0.086 0.093 0.287
C6 0.112 0.194 0.380
C7 0.229 0.112 0.791
C8 0.328 0.755 0.091
C9 0.333 0.956 0.884
C10 0.399 0.728 0.557
C11 0.407 0.259 0.052
C12 0.493 0.116 0.146
C13 0.497 0.323 0.931
C14 0.503 0.677 0.069
C15 0.507 0.884 0.854
C16 0.593 0.741 0.948
C17 0.601 0.272 0.443
C18 0.667 0.044 0.116
C19 0.672 0.245 0.909
C20 0.771 0.888 0.209
C21 0.888 0.806 0.620
C22 0.914 0.907 0.713
C23 0.925 0.514 0.558
C24 0.946 0.328 0.129
C25 0.947 0.629 0.655
C26 0.965 0.438 0.217
N1 0.007 0.158 0.161
N2 0.244 0.891 0.999
N3 0.756 0.109 0.001
N4 0.993 0.842 0.839
O1 0.069 0.160 0.834
O2 0.297 0.186 0.683
O3 0.396 0.751 0.402
O4 0.604 0.249 0.598
O5 0.703 0.814 0.317
O6 0.931 0.840 0.166
```

---

Entry 5:
DFT (PBE+U) results for a geometry-optimized CoH22C16N2O5 structure.

## Properties
spin magnetization = 6.0 μB/cell
VASP energy = -0.2255 Ha/atom

Cell and atoms, written as CIF:
```
data_CoH22C16N2O5
_chemical_formula_sum 'Co2 H44 C32 N4 O10'
_cell_length_a 8.471
_cell_length_b 8.640
_cell_length_c 11.559
_cell_angle_alpha 96.56
_cell_angle_beta 105.80
_cell_angle_gamma 105.39
_symmetry_space_group_name_H-M 'P 1'
_symmetry_Int_Tables_number 1
loop_
_symmetry_equiv_pos_as_xyz
'x,y,z'
loop_
_atom_site_label
_atom_site_fract_x
_atom_site_fract_y
_atom_site_fract_z
Co1 0.058 0.490 0.120
Co2 0.942 0.510 0.880
H1 0.017 0.976 0.888
H2 0.072 0.108 0.715
H3 0.094 0.737 0.361
H4 0.103 0.923 0.448
H5 0.142 0.207 0.485
H6 0.203 0.983 0.759
H7 0.213 0.510 0.763
H8 0.221 0.335 0.320
H9 0.245 0.072 0.095
H10 0.292 0.950 0.984
H11 0.313 0.633 0.601
H12 0.321 0.357 0.846
H13 0.321 0.857 0.293
H14 0.325 0.052 0.367
H15 0.375 0.094 0.595
H16 0.377 0.257 0.729
H17 0.400 0.929 0.670
H18 0.437 0.325 0.069
H19 0.447 0.815 0.900
H20 0.450 0.725 0.482
H21 0.486 0.562 0.436
H22 0.496 0.902 0.123
H23 0.504 0.098 0.877
H24 0.514 0.438 0.564
H25 0.550 0.275 0.518
H26 0.553 0.185 0.100
H27 0.563 0.675 0.931
H28 0.600 0.071 0.330
H29 0.623 0.743 0.271
H30 0.625 0.906 0.405
H31 0.675 0.948 0.633
H32 0.679 0.143 0.707
H33 0.679 0.643 0.154
H34 0.687 0.367 0.399
H35 0.708 0.050 0.016
H36 0.755 0.928 0.905
H37 0.779 0.665 0.680
H38 0.787 0.490 0.237
H39 0.797 0.017 0.241
H40 0.858 0.793 0.515
H41 0.897 0.077 0.552
H42 0.906 0.263 0.639
H43 0.928 0.892 0.285
H44 0.983 0.024 0.112
C1 0.057 0.267 0.432
C2 0.069 0.231 0.941
C3 0.097 0.729 0.546
C4 0.104 0.340 0.341
C5 0.129 0.087 0.906
C6 0.138 0.574 0.705
C7 0.153 0.817 0.453
C8 0.179 0.098 0.789
C9 0.194 0.644 0.615
C10 0.278 0.071 0.010
C11 0.336 0.662 0.075
C12 0.342 0.242 0.813
C13 0.380 0.949 0.378
C14 0.427 0.989 0.596
C15 0.447 0.207 0.031
C16 0.490 0.217 0.911
C17 0.510 0.783 0.089
C18 0.553 0.793 0.969
C19 0.573 0.011 0.404
C20 0.620 0.051 0.622
C21 0.658 0.758 0.187
C22 0.664 0.338 0.925
C23 0.722 0.929 0.990
C24 0.806 0.356 0.385
C25 0.821 0.902 0.211
C26 0.847 0.183 0.547
C27 0.862 0.426 0.295
C28 0.871 0.913 0.094
C29 0.896 0.660 0.659
C30 0.903 0.271 0.454
C31 0.931 0.769 0.059
C32 0.943 0.733 0.568
N1 0.006 0.416 0.271
N2 0.340 0.872 0.478
N3 0.660 0.128 0.522
N4 0.994 0.584 0.729
O1 0.001 0.298 0.856
O2 0.089 0.279 0.054
O3 0.220 0.623 0.971
O4 0.313 0.610 0.171
O5 0.465 0.337 0.503
O6 0.535 0.663 0.497
O7 0.687 0.390 0.829
O8 0.780 0.377 0.029
O9 0.911 0.721 0.946
O10 0.999 0.702 0.144
```

---

Entry 6:
DFT (PBE+U) results for a geometry-optimized CoPH9C4NO7 structure.

## Properties
spin magnetization = 6.0 μB/cell
VASP energy = -0.2241 Ha/atom

Cell and atoms, written as CIF:
```
data_CoPH9C4NO7
_chemical_formula_sum 'Co2 P2 H18 C8 N2 O14'
_cell_length_a 6.931
_cell_length_b 7.398
_cell_length_c 9.336
_cell_angle_alpha 107.65
_cell_angle_beta 97.92
_cell_angle_gamma 113.52
_symmetry_space_group_name_H-M 'P 1'
_symmetry_Int_Tables_number 1
loop_
_symmetry_equiv_pos_as_xyz
'x,y,z'
loop_
_atom_site_label
_atom_site_fract_x
_atom_site_fract_y
_atom_site_fract_z
Co1 0.216 0.175 0.316
Co2 0.784 0.825 0.684
P1 0.366 0.672 0.398
P2 0.634 0.328 0.602
H1 0.082 0.467 0.903
H2 0.143 0.619 0.380
H3 0.227 0.734 0.802
H4 0.263 0.519 0.703
H5 0.308 0.378 0.053
H6 0.309 0.708 0.045
H7 0.328 0.297 0.858
H8 0.476 0.748 0.839
H9 0.477 0.971 0.354
H10 0.523 0.029 0.646
H11 0.524 0.252 0.161
H12 0.672 0.703 0.142
H13 0.691 0.292 0.955
H14 0.692 0.622 0.947
H15 0.737 0.481 0.297
H16 0.773 0.266 0.198
H17 0.857 0.381 0.620
H18 0.918 0.533 0.097
C1 0.020 0.111 0.555
C2 0.092 0.970 0.981
C3 0.261 0.567 0.939
C4 0.375 0.437 0.967
C5 0.625 0.563 0.033
C6 0.739 0.433 0.061
C7 0.908 0.030 0.019
C8 0.980 0.889 0.445
N1 0.310 0.644 0.812
N2 0.690 0.356 0.188
O1 0.051 0.879 0.326
O2 0.069 0.871 0.838
O3 0.121 0.269 0.520
O4 0.251 0.023 0.096
O5 0.385 0.471 0.323
O6 0.455 0.817 0.305
O7 0.483 0.800 0.576
O8 0.517 0.200 0.424
O9 0.545 0.183 0.695
O10 0.615 0.529 0.677
O11 0.749 0.977 0.904
O12 0.879 0.731 0.480
O13 0.931 0.129 0.162
O14 0.949 0.121 0.674
```

---

Entry 7:
DFT (PBE+U) results for a geometry-optimized CoH12C8S2N6O2 structure.

## Properties
spin magnetization = 2.0 μB/cell
VASP energy = -0.2240 Ha/atom

Cell and atoms, written as CIF:
```
data_CoH12C8S2N6O2
_chemical_formula_sum 'Co2 H24 C16 S4 N12 O4'
_cell_length_a 7.865
_cell_length_b 9.967
_cell_length_c 11.452
_cell_angle_alpha 90.00
_cell_angle_beta 127.06
_cell_angle_gamma 90.00
_symmetry_space_group_name_H-M 'P 1'
_symmetry_Int_Tables_number 1
loop_
_symmetry_equiv_pos_as_xyz
'x,y,z'
loop_
_atom_site_label
_atom_site_fract_x
_atom_site_fract_y
_atom_site_fract_z
Co1 0.000 0.000 0.000
Co2 0.000 0.500 0.500
H1 0.203 0.197 0.738
H2 0.203 0.303 0.238
H3 0.207 0.706 0.942
H4 0.207 0.794 0.442
H5 0.250 0.030 0.707
H6 0.250 0.470 0.207
H7 0.307 0.072 0.882
H8 0.307 0.428 0.382
H9 0.418 0.725 0.439
H10 0.418 0.775 0.939
H11 0.472 0.640 0.063
H12 0.472 0.860 0.563
H13 0.528 0.140 0.437
H14 0.528 0.360 0.937
H15 0.582 0.225 0.061
H16 0.582 0.275 0.561
H17 0.693 0.572 0.618
H18 0.693 0.928 0.118
H19 0.750 0.530 0.793
H20 0.750 0.970 0.293
H21 0.793 0.206 0.558
H22 0.793 0.294 0.058
H23 0.797 0.697 0.762
H24 0.797 0.803 0.262
C1 0.087 0.199 0.453
C2 0.087 0.301 0.953
C3 0.134 0.058 0.321
C4 0.134 0.442 0.821
C5 0.304 0.108 0.790
C6 0.304 0.392 0.290
C7 0.377 0.730 0.007
C8 0.377 0.770 0.507
C9 0.623 0.230 0.493
C10 0.623 0.270 0.993
C11 0.696 0.608 0.710
C12 0.696 0.892 0.210
C13 0.866 0.558 0.179
C14 0.866 0.942 0.679
C15 0.913 0.699 0.047
C16 0.913 0.801 0.547
S1 0.432 0.651 0.644
S2 0.432 0.849 0.144
S3 0.568 0.151 0.856
S4 0.568 0.349 0.356
N1 0.029 0.203 0.977
N2 0.029 0.297 0.477
N3 0.126 0.025 0.219
N4 0.126 0.475 0.719
N5 0.154 0.085 0.439
N6 0.154 0.415 0.939
N7 0.846 0.585 0.061
N8 0.846 0.915 0.561
N9 0.874 0.525 0.281
N10 0.874 0.975 0.781
N11 0.971 0.703 0.523
N12 0.971 0.797 0.023
O1 0.307 0.524 0.558
O2 0.307 0.976 0.058
O3 0.693 0.024 0.942
O4 0.693 0.476 0.442
```